Compound: InB2As
Source: Alexandria
Functional: PBE-GGA
Structure: optimized geometry

```
InB2As
1.0
5.261 0.000 0.000
0.000 5.261 0.000
2.631 2.631 4.729
B As In
4 2 2
Cartesian
1.554 3.946 1.182
3.946 4.184 3.546
6.577 6.338 3.546
3.708 1.315 1.182
2.631 5.261 2.364
2.631 2.631 0.000
0.000 0.000 0.000
5.261 2.631 2.364
```

magnetization: 0.00 μB/cell
ΔE_f: 0.6304 eV/atom
SG: I-42d
electronic total energy: -4.56 eV per atom



Compound: InBAs
Source: Alexandria
Functional: PBE-GGA
Structure: optimized geometry

```
InBAs
1.0
4.409 0.000 0.000
0.000 4.826 0.000
-2.205 -2.413 6.244
In As B
2 2 2
Cartesian
0.000 2.413 4.579
2.205 0.000 1.665
0.000 2.413 1.524
2.205 0.000 4.721
3.009 2.413 0.000
1.400 2.413 0.000
```

magnetization: 0.00 μB/cell
ΔE_f: 0.3536 eV/atom
SG: Immm
electronic total energy: -4.33 eV per atom



Compound: InBMo2As
Source: Alexandria
Functional: PBE-GGA
Structure: optimized geometry

```
InBMo2As
1.0
-1.077 -2.895 3.697
3.376 -1.905 -0.509
2.178 3.052 3.025
Mo In As B
2 1 1 1
Cartesian
-0.538 -1.448 1.848
1.089 1.526 1.512
2.239 -0.874 3.106
0.000 0.000 0.000
1.688 -0.953 -0.254
```

magnetization: 2.16 μB/cell
ΔE_f: 1.2996 eV/atom
SG: P4/mmm
electronic total energy: -5.85 eV per atom



Compound: InBAsP2
Source: Alexandria
Functional: PBE-GGA
Structure: optimized geometry

```
InBAsP2
1.0
4.814 0.000 0.000
0.000 5.424 0.000
0.000 0.000 4.814
In As B P
1 1 1 2
Cartesian
0.000 2.712 0.000
0.000 0.000 0.000
2.407 2.712 2.407
0.000 0.000 2.407
2.407 0.000 0.000
```

magnetization: 0.00 μB/cell
ΔE_f: 1.6213 eV/atom
SG: P4/mmm
electronic total energy: -3.36 eV per atom



Compound: In2BAsPt6
Source: Alexandria
Functional: PBE-GGA
Structure: optimized geometry

```
In2BAsPt6
1.0
-3.368 0.327 4.415
-0.188 -5.552 0.286
6.458 2.614 1.252
Pt As In B
6 1 2 1
Cartesian
3.475 1.503 4.349
2.063 -0.007 1.596
0.797 -2.624 4.345
5.099 -1.499 2.241
5.209 1.337 2.105
3.375 -1.331 4.491
-1.074 -2.612 2.888
0.876 0.156 4.192
2.469 -2.788 2.124
0.451 0.012 0.327
```

magnetization: 0.00 μB/cell
ΔE_f: -0.3065 eV/atom
SG: Cm
electronic total energy: -5.61 eV per atom



Compound: InTcB2As
Source: Alexandria
Functional: PBE-GGA
Structure: optimized geometry

```
InTcB2As
1.0
4.076 0.000 0.000
0.000 5.437 0.000
0.000 0.000 4.076
B In As Tc
2 1 1 1
Cartesian
2.038 0.000 0.000
0.000 0.000 2.038
0.000 2.719 0.000
2.038 2.719 2.038
0.000 0.000 0.000
```

magnetization: 0.00 μB/cell
ΔE_f: 1.0856 eV/atom
SG: P4/mmm
electronic total energy: -5.14 eV per atom



Compound: InB2TeAs
Source: Alexandria
Functional: PBE-GGA
Structure: optimized geometry

```
InB2TeAs
1.0
-0.308 -1.104 -4.264
5.093 -3.220 0.465
-2.356 -3.569 1.095
As B In Te
1 2 1 1
Cartesian
1.214 -3.947 -1.352
-0.154 -0.552 -2.132
-1.178 -1.785 0.547
2.547 -1.610 0.233
0.000 0.000 0.000
```

magnetization: 0.00 μB/cell
SG: P4/mmm
E_form (uncorrected): 8.5 eV per formula unit
electronic total energy: -3.08 eV per atom



Compound: BAsIr2
Source: Alexandria
Functional: PBE-GGA
Structure: optimized geometry

```
BAsIr2
1.0
5.091 0.000 0.000
0.000 5.091 0.000
2.546 2.546 5.114
Ir B As
4 2 2
Cartesian
1.573 3.819 1.278
3.518 1.273 1.278
6.364 6.064 3.835
3.819 4.119 3.835
2.546 5.091 2.557
2.546 2.546 0.000
5.091 2.546 2.557
0.000 0.000 0.000
```

magnetization: 0.00 μB/cell
ΔE_f: 0.0018 eV/atom
SG: I-42d
electronic total energy: -7.26 eV per atom



Compound: BAsIr2
Source: Alexandria
Functional: PBE-GGA
Structure: optimized geometry

```
BAsIr2
1.0
-2.968 -2.261 1.909
-1.733 1.391 3.554
-3.972 1.339 0.011
Ir As B
2 1 1
Cartesian
-6.504 0.352 4.106
-2.168 0.117 1.369
-4.336 0.234 2.737
0.000 0.000 0.000
```

magnetization: 0.73 μB/cell
ΔE_f: 0.5576 eV/atom
SG: Fm-3m
electronic total energy: -6.70 eV per atom



Compound: BAs3Ir
Source: Alexandria
Functional: PBE-GGA
Structure: optimized geometry

```
BAs3Ir
1.0
-0.361 0.456 -4.813
-3.323 -3.529 -0.085
-3.512 3.293 0.575
As Ir B
3 1 1
Cartesian
-0.180 0.228 -2.407
-1.662 -1.765 -0.043
-1.756 1.646 0.287
0.000 0.000 0.000
-3.598 0.110 -2.162
```

magnetization: 0.00 μB/cell
ΔE_f: 1.4673 eV/atom
SG: Pm-3m
electronic total energy: -4.43 eV per atom



Compound: BAs3Ir
Source: Alexandria
Functional: PBE-GGA
Structure: optimized geometry

```
BAs3Ir
1.0
4.269 0.000 0.000
0.000 4.269 0.000
0.000 0.000 4.269
B As Ir
1 3 1
Cartesian
0.000 0.000 0.000
0.000 2.135 0.000
2.135 0.000 0.000
0.000 0.000 2.135
2.135 2.135 2.135
```

magnetization: 0.00 μB/cell
ΔE_f: 0.8601 eV/atom
SG: Pm-3m
electronic total energy: -5.04 eV per atom



Compound: BAs2Ir
Source: Alexandria
Functional: PBE-GGA
Structure: optimized geometry

```
BAs2Ir
1.0
-0.234 -3.426 -4.109
-1.822 -3.816 3.286
-5.486 -2.254 -1.297
As Ir B
4 2 2
Cartesian
-1.734 -3.007 -2.272
-2.552 -3.551 1.006
-4.978 -4.601 -1.114
-5.821 -7.833 -1.860
-3.374 -4.651 -2.909
0.000 0.000 0.000
-1.028 -3.621 -0.412
-4.168 -4.846 0.789
```

magnetization: 0.00 μB/cell
ΔE_f: 0.1376 eV/atom
SG: I-42d
electronic total energy: -6.07 eV per atom